Arrangement A

DFT (PBE) results for a relaxed Tm5PuTl6 crystal.

Geometry as POSCAR:
```
Tm5PuTl6
1.0
4.7774 -0.0035 -1.3387
-3.4584 7.6249 -3.1702
-0.0686 -0.3115 8.9470
Tl Tm Pu
6 5 1
Direct
0.2533 0.0842 0.4222
0.7467 0.5778 0.9158
0.7562 0.2561 0.2561
0.2438 0.7439 0.7439
0.2533 0.4222 0.0842
0.7467 0.9158 0.5778
0.5000 0.1606 0.8394
0.0000 0.3302 0.6698
0.5000 0.5000 0.5000
0.0000 0.6698 0.3302
0.5000 0.8394 0.1606
0.0000 0.0000 0.0000
```

- space-group type = Immm, No. 71

***

Arrangement B

DFT (PBE) results for a relaxed Tm5PuTl6 crystal.

Geometry as POSCAR:
```
Tm5PuTl6
1.0
-5.4328 -0.7480 2.9938
2.2658 -6.9430 6.9691
2.5307 0.5359 7.0225
Tm Pu Tl
5 1 6
Direct
0.5000 0.1615 0.6770
0.0000 0.3305 0.3389
0.5000 0.5000 0.0000
0.0000 0.6695 0.6611
0.5000 0.8385 0.3230
0.0000 0.0000 0.0000
0.7459 0.0841 0.3392
0.2541 0.5767 0.3392
0.2528 0.2539 0.0000
0.7472 0.7461 0.0000
0.7459 0.4233 0.6608
0.2541 0.9159 0.6608
```

- space-group type = C2/m, No. 12

***

Most stable: arrangement A

***

Arrangement A

DFT (PBE) results for a relaxed TmPu2Tl crystal.

Geometry as POSCAR:
```
TmPu2Tl
1.0
5.3914 0.0000 0.0000
2.6957 4.6691 0.0000
2.6957 1.5564 4.4020
Tl Tm Pu
1 1 2
Direct
0.5000 0.5000 0.5000
0.0000 0.0000 0.0000
0.2500 0.2500 0.2500
0.7500 0.7500 0.7500
```

- space-group type = Fm-3m, No. 225

***

Arrangement B

DFT (PBE) results for a relaxed TmPu2Tl crystal.

Geometry as POSCAR:
```
TmPu2Tl
1.0
-1.1913 3.6368 -3.4900
-0.0986 -3.1420 -3.2405
-4.3926 -0.6789 0.7919
Tl Tm Pu
1 1 2
Direct
0.5000 0.0000 0.0000
0.5000 0.5000 0.5000
0.0000 0.0000 0.5000
0.0000 0.5000 0.0000
```

- space-group type = P4/mmm, No. 123

***

Most stable: arrangement B

***

Arrangement A

DFT (PBE) results for a relaxed Pu2UTl crystal.

Geometry as POSCAR:
```
Pu2UTl
1.0
-1.3360 2.3621 1.8957
-2.1522 0.7174 -2.4106
-5.7014 -5.9005 3.3342
Tl U Pu
1 1 2
Direct
0.5000 0.5000 0.5000
0.5000 0.5000 0.0000
0.0000 0.0000 0.7809
0.0000 0.0000 0.2191
```

- space-group type = P4/mmm, No. 123

***

Arrangement B

DFT (PBE) results for a relaxed Pu2UTl crystal.

Geometry as POSCAR:
```
Pu2UTl
1.0
-1.5844 -1.9349 -2.7195
2.0708 -2.1141 -2.2119
-0.9911 -8.5193 4.1294
Tl U Pu
1 1 2
Direct
0.0000 0.0000 0.0000
0.5000 0.5000 0.5000
0.1140 0.1140 0.6579
0.8860 0.8860 0.3421
```

- space-group type = R-3m, No. 166

***

Most stable: arrangement A

***

Arrangement A

DFT (PBE) results for a relaxed YPuTl2 crystal.

Geometry as POSCAR:
```
YPuTl2
1.0
5.4040 0.0000 0.0000
2.7020 4.6800 0.0000
2.7020 1.5600 4.4123
Y Tl Pu
1 2 1
Direct
0.5000 0.5000 0.5000
0.2500 0.2500 0.2500
0.7500 0.7500 0.7500
0.0000 0.0000 0.0000
```

- space-group type = Fm-3m, No. 225

***

Arrangement B

DFT (PBE) results for a relaxed YPuTl2 crystal.

Geometry as POSCAR:
```
YPuTl2
1.0
-2.5998 2.4774 -2.5647
-2.9365 0.9864 3.9295
2.7792 4.0216 1.0674
Y Tl Pu
1 2 1
Direct
0.5000 0.0000 0.0000
0.0000 0.0000 0.5000
0.0000 0.5000 0.0000
0.5000 0.5000 0.5000
```

- space-group type = P4/mmm, No. 123

***

Most stable: arrangement A

***

Arrangement A

DFT (PBE) results for a relaxed Y2PuTl crystal.

Geometry as POSCAR:
```
Y2PuTl
1.0
3.5572 0.0000 0.0000
1.7786 3.0806 0.0000
1.7786 1.0269 10.8134
Y Tl Pu
2 1 1
Direct
0.2535 0.2535 0.2396
0.7465 0.7465 0.7604
0.0000 0.0000 0.0000
0.5000 0.5000 0.5000
```

- space-group type = R-3m, No. 166

***

Arrangement B

DFT (PBE) results for a relaxed Y2PuTl crystal.

Geometry as POSCAR:
```
Y2PuTl
1.0
3.5720 0.0000 0.0000
1.7860 3.0934 0.0000
1.7860 1.0311 10.7480
Y Pu Tl
2 1 1
Direct
0.0800 0.0800 0.7601
0.2535 0.2535 0.2395
0.4997 0.4997 0.5008
0.6668 0.6668 0.9995
```

- space-group type = R3m, No. 160

***

Most stable: arrangement B

***

Arrangement A

DFT (PBE) results for a relaxed Y2PuTl crystal.

Geometry as POSCAR:
```
Y2PuTl
1.0
4.6169 0.0000 0.0000
0.0000 4.9452 0.0000
0.0000 0.0000 4.9452
Y Tl Pu
2 1 1
Direct
0.0000 0.0000 0.5000
0.0000 0.5000 0.0000
0.5000 0.5000 0.5000
0.5000 0.0000 0.0000
```

- space-group type = P4/mmm, No. 123

***

Arrangement B

DFT (PBE) results for a relaxed Y2PuTl crystal.

Geometry as POSCAR:
```
Y2PuTl
1.0
-0.8780 2.2944 4.8524
-0.9817 -3.1198 4.3456
3.7327 -0.4395 3.9313
Y Tl Pu
2 1 1
Direct
0.2500 0.2500 0.2500
0.7500 0.7500 0.7500
0.5000 0.5000 0.5000
0.0000 0.0000 0.0000
```

- space-group type = Fm-3m, No. 225

***

Most stable: arrangement A

***

Arrangement A

DFT (PBE) results for a relaxed PuZrTl2 crystal.

Geometry as POSCAR:
```
PuZrTl2
1.0
3.2519 0.0000 0.0000
0.0000 3.2519 0.0000
0.0000 0.0000 9.3450
Tl Zr Pu
2 1 1
Direct
0.0000 0.0000 0.7628
0.0000 0.0000 0.2372
0.5000 0.5000 0.0000
0.5000 0.5000 0.5000
```

- space-group type = P4/mmm, No. 123

***

Arrangement B

DFT (PBE) results for a relaxed PuZrTl2 crystal.

Geometry as POSCAR:
```
PuZrTl2
1.0
5.2509 0.0000 0.0000
2.6254 4.5474 0.0000
2.6254 1.5158 4.2873
Tl Zr Pu
2 1 1
Direct
0.2500 0.2500 0.2500
0.7500 0.7500 0.7500
0.0000 0.0000 0.0000
0.5000 0.5000 0.5000
```

- space-group type = Fm-3m, No. 225

***

Most stable: arrangement A

***

Arrangement A

DFT (PBE) results for a relaxed PuZrTl2 crystal.

Geometry as POSCAR:
```
PuZrTl2
1.0
4.9975 0.0000 0.0000
2.4987 4.3279 0.0000
2.4987 1.4426 5.3780
Pu Zr Tl
1 1 2
Direct
0.4878 0.4878 0.5367
0.6837 0.6837 0.9489
0.0598 0.0598 0.8205
0.2687 0.2687 0.1939
```

- space-group type = R3m, No. 160

***

Arrangement B

DFT (PBE) results for a relaxed PuZrTl2 crystal.

Geometry as POSCAR:
```
PuZrTl2
1.0
3.3379 0.0000 0.0000
1.6690 2.8907 0.0000
1.6690 0.9636 10.6386
Tl Zr Pu
2 1 1
Direct
0.2535 0.2535 0.2394
0.7465 0.7465 0.7606
0.0000 0.0000 0.0000
0.5000 0.5000 0.5000
```

- space-group type = R-3m, No. 166

***

Most stable: arrangement B